No. 1
A plane-wave DFT calculation with GGA+U was carried out for a relaxed structure of Cr2P2O7.

- E: -7.5942 eV/atom
- Excess energy over the best structure of this formula in the dataset: 0.55 kJ per mole of atoms

abc: 5.5596 5.5596 4.6524
angles: 101.36 101.36 101.02
Last column: nearest neighbours and their distance in Å.
Atoms (fractional coordinates):
Cr: 0.1893 0.8107 0.0000  4 O 2.06-2.11
Cr: 0.8107 0.1893 0.0000  4 O 2.06-2.11
P: 0.2999 0.2999 0.5890  4 O 1.52-1.59
P: 0.7001 0.7001 0.4110  4 O 1.52-1.59
O: 0.1312 0.1312 0.2818  1 P 1.55
O: 0.1473 0.4441 0.7671  1 P 1.52
O: 0.4441 0.1473 0.7671  1 P 1.52
O: 0.5000 0.5000 0.5000  2 P 1.59
O: 0.5559 0.8527 0.2329  1 P 1.52
O: 0.8527 0.5559 0.2329  1 P 1.52
O: 0.8688 0.8688 0.7182  1 P 1.55



No. 2
A plane-wave DFT calculation with GGA+U was carried out for a relaxed structure of CrP2O7.

- E: -7.2510 eV/atom
- Excess energy over the best structure of this formula in the dataset: 2.51 kJ per mole of atoms

abc: 6.2916 6.2916 13.1331
angles: 105.37 105.37 80.60
Last column: nearest neighbours and their distance in Å.
Atoms (fractional coordinates):
Cr: 0.0841 0.6243 0.8527  6 O 1.91-1.97
Cr: 0.3757 0.9159 0.6473  6 O 1.91-1.97
Cr: 0.6243 0.0841 0.3527  6 O 1.91-1.97
Cr: 0.9159 0.3757 0.1473  6 O 1.91-1.97
P: 0.0852 0.1696 0.9295  4 O 1.52-1.61
P: 0.1696 0.0852 0.4295  4 O 1.52-1.61
P: 0.2499 0.4185 0.6354  4 O 1.51-1.61
P: 0.4185 0.2499 0.1354  4 O 1.51-1.61
P: 0.5815 0.7501 0.8646  4 O 1.51-1.61
P: 0.7501 0.5815 0.3646  4 O 1.51-1.61
P: 0.8304 0.9148 0.5705  4 O 1.52-1.61
P: 0.9148 0.8304 0.0705  4 O 1.52-1.61
O: 0.0274 0.9436 0.8554  1 P 1.53
O: 0.0564 0.9726 0.6446  1 P 1.53
O: 0.0703 0.5257 0.7008  1 P 1.56
O: 0.0934 0.7139 0.0078  1 P 1.54
O: 0.1107 0.3059 0.5167  2 P 1.61
O: 0.1383 0.3186 0.8670  1 P 1.52
O: 0.2343 0.4021 0.1808  1 P 1.52
O: 0.2861 0.9066 0.4922  1 P 1.54
O: 0.3059 0.1107 0.0167  2 P 1.61
O: 0.3186 0.1383 0.3670  1 P 1.52
O: 0.3723 0.5930 0.6212  1 P 1.51
O: 0.4021 0.2343 0.6808  1 P 1.52
O: 0.4070 0.6277 0.8788  1 P 1.51
O: 0.4743 0.9297 0.7992  1 P 1.56
O: 0.5257 0.0703 0.2008  1 P 1.56
O: 0.5930 0.3723 0.1212  1 P 1.51
O: 0.5979 0.7657 0.3192  1 P 1.52
O: 0.6277 0.4070 0.3788  1 P 1.51
O: 0.6814 0.8617 0.6330  1 P 1.52
O: 0.6941 0.8893 0.9833  2 P 1.61
O: 0.7139 0.0934 0.5078  1 P 1.54
O: 0.7657 0.5979 0.8192  1 P 1.52
O: 0.8617 0.6814 0.1330  1 P 1.52
O: 0.8893 0.6941 0.4833  2 P 1.61
O: 0.9066 0.2861 0.9922  1 P 1.54
O: 0.9297 0.4743 0.2992  1 P 1.56
O: 0.9436 0.0274 0.3554  1 P 1.53
O: 0.9726 0.0564 0.1446  1 P 1.53



No. 3
A plane-wave DFT calculation with GGA+U was carried out for a relaxed structure of CrP2O.

- E: -5.4510 eV/atom

abc: 5.6897 5.6897 5.6897
angles: 120.74 120.74 88.73
Last column: nearest neighbours and their distance in Å.
Atoms (fractional coordinates):
Cr: 0.0000 0.0000 0.0000  4 P 2.47
Cr: 0.7500 0.2500 0.5000  4 P 2.47
P: 0.1864 0.6250 0.0614  2 O 2.03
P: 0.3750 0.4364 0.5614  2 O 2.03
P: 0.5636 0.1250 0.9386  2 O 2.03
P: 0.8750 0.8136 0.4386  2 O 2.03
O: 0.2500 0.7500 0.5000  4 P 2.03
O: 0.5000 0.5000 0.0000  4 P 2.03



No. 4
A plane-wave DFT calculation with GGA+U was carried out for a relaxed structure of CrPO4.

- E: -7.4731 eV/atom

abc: 5.6914 6.4090 9.5868
angles: 75.15 75.90 81.43
Last column: nearest neighbours and their distance in Å.
Atoms (fractional coordinates):
Cr: 0.1255 0.0938 0.1888  4 O 1.92-2.11
Cr: 0.2583 0.1679 0.5586  5 O 1.95-2.10
Cr: 0.7417 0.8321 0.4414  5 O 1.95-2.10
Cr: 0.8745 0.9062 0.8112  4 O 1.92-2.11
P: 0.1777 0.7064 0.5244  4 O 1.50-1.57
P: 0.2983 0.8559 0.8986  4 O 1.52-1.62
P: 0.7017 0.1441 0.1014  4 O 1.52-1.62
P: 0.8223 0.2936 0.4756  4 O 1.50-1.57
O: 0.0685 0.2315 0.3739  1 P 1.56
O: 0.1095 0.6967 0.9084  1 P 1.56
O: 0.1134 0.7891 0.3690  1 P 1.56
O: 0.2105 0.0526 0.7733  1 P 1.62
O: 0.2623 0.9300 0.0414  1 P 1.52
O: 0.2658 0.4697 0.5616  1 P 1.50
O: 0.3722 0.8502 0.5327  1 P 1.57
O: 0.4367 0.2238 0.1554  1 P 1.53
O: 0.5633 0.7762 0.8446  1 P 1.53
O: 0.6278 0.1498 0.4673  1 P 1.57
O: 0.7342 0.5303 0.4384  1 P 1.50
O: 0.7377 0.0700 0.9586  1 P 1.52
O: 0.7895 0.9474 0.2267  1 P 1.62
O: 0.8866 0.2109 0.6310  1 P 1.56
O: 0.8905 0.3033 0.0916  1 P 1.56
O: 0.9315 0.7685 0.6261  1 P 1.56



No. 5
A plane-wave DFT calculation with GGA+U was carried out for a relaxed structure of Cr3P2O8.

- E: -7.6800 eV/atom

abc: 5.0532 9.6664 8.2087
angles: 90.00 126.60 90.00
Last column: nearest neighbours and their distance in Å.
Atoms (fractional coordinates):
Cr: 0.0000 0.0000 0.0000  4 O 2.10-2.12
Cr: 0.0000 0.5000 0.5000  4 O 2.10-2.12
Cr: 0.2019 0.1248 0.6535  4 O 2.09-2.13
Cr: 0.2019 0.3752 0.1535  4 O 2.09-2.13
Cr: 0.7981 0.6248 0.8465  4 O 2.09-2.13
Cr: 0.7981 0.8752 0.3465  4 O 2.09-2.13
P: 0.3406 0.6803 0.3460  4 O 1.52-1.57
P: 0.3406 0.8197 0.8460  4 O 1.52-1.57
P: 0.6594 0.1803 0.1540  4 O 1.52-1.57
P: 0.6594 0.3197 0.6540  4 O 1.52-1.57
O: 0.0972 0.5835 0.1613  1 P 1.57
O: 0.0972 0.9165 0.6613  1 P 1.57
O: 0.2192 0.6711 0.8122  1 P 1.52
O: 0.2192 0.8289 0.3122  1 P 1.52
O: 0.3172 0.1747 0.1183  1 P 1.57
O: 0.3172 0.3253 0.6183  1 P 1.57
O: 0.3808 0.6167 0.5355  1 P 1.57
O: 0.3808 0.8833 0.0355  1 P 1.57
O: 0.6192 0.1167 0.9645  1 P 1.57
O: 0.6192 0.3833 0.4645  1 P 1.57
O: 0.6828 0.6747 0.3817  1 P 1.57
O: 0.6828 0.8253 0.8817  1 P 1.57
O: 0.7808 0.1711 0.6878  1 P 1.52
O: 0.7808 0.3289 0.1878  1 P 1.52
O: 0.9028 0.0835 0.3387  1 P 1.57
O: 0.9028 0.4165 0.8387  1 P 1.57



No. 6
A plane-wave DFT calculation with GGA+U was carried out for a relaxed structure of CrP3O9.

- E: -7.3574 eV/atom
- Excess energy over the best structure of this formula in the dataset: 3.76 kJ per mole of atoms

abc: 8.4392 8.4800 9.1768
angles: 90.00 90.00 90.00
Last column: nearest neighbours and their distance in Å.
Atoms (fractional coordinates):
Cr: 0.1249 0.0975 0.1382  6 O 1.97-2.08
Cr: 0.3751 0.9025 0.6382  6 O 1.97-2.08
Cr: 0.6249 0.4025 0.8618  6 O 1.97-2.08
Cr: 0.8751 0.5975 0.3618  6 O 1.97-2.08
P: 0.0701 0.7273 0.0822  4 O 1.50-1.61
P: 0.0725 0.9469 0.8362  4 O 1.50-1.62
P: 0.2148 0.5601 0.5546  4 O 1.50-1.63
P: 0.2852 0.4399 0.0546  4 O 1.50-1.63
P: 0.4275 0.0531 0.3362  4 O 1.50-1.62
P: 0.4299 0.2727 0.5822  4 O 1.50-1.61
P: 0.5701 0.7727 0.9178  4 O 1.50-1.61
P: 0.5725 0.5531 0.1638  4 O 1.50-1.62
P: 0.7148 0.9399 0.4454  4 O 1.50-1.63
P: 0.7852 0.0601 0.9454  4 O 1.50-1.63
P: 0.9275 0.4469 0.6638  4 O 1.50-1.62
P: 0.9299 0.2273 0.4178  4 O 1.50-1.61
O: 0.0190 0.7885 0.9224  2 P 1.61-1.62
O: 0.0638 0.1374 0.3492  1 P 1.50
O: 0.0988 0.5256 0.6932  2 P 1.61-1.63
O: 0.1125 0.5935 0.4231  1 P 1.51
O: 0.1356 0.8633 0.1685  1 P 1.50
O: 0.1415 0.9029 0.6912  1 P 1.50
O: 0.1559 0.3293 0.0993  1 P 1.50
O: 0.1712 0.0531 0.9318  1 P 1.51
O: 0.2079 0.6103 0.0309  2 P 1.60
O: 0.2921 0.3897 0.5309  2 P 1.60
O: 0.3288 0.9469 0.4318  1 P 1.51
O: 0.3441 0.6707 0.5993  1 P 1.50
O: 0.3585 0.0971 0.1912  1 P 1.50
O: 0.3644 0.1367 0.6685  1 P 1.50
O: 0.3875 0.4065 0.9231  1 P 1.51
O: 0.4012 0.4744 0.1932  2 P 1.61-1.63
O: 0.4362 0.8626 0.8492  1 P 1.50
O: 0.4810 0.2115 0.4224  2 P 1.61-1.62
O: 0.5190 0.7115 0.0776  2 P 1.61-1.62
O: 0.5638 0.3626 0.6508  1 P 1.50
O: 0.5988 0.9744 0.3068  2 P 1.61-1.63
O: 0.6125 0.9065 0.5769  1 P 1.51
O: 0.6356 0.6367 0.8315  1 P 1.50
O: 0.6415 0.5971 0.3088  1 P 1.50
O: 0.6559 0.1707 0.9007  1 P 1.50
O: 0.6712 0.4469 0.0682  1 P 1.51
O: 0.7079 0.8897 0.9691  2 P 1.60
O: 0.7921 0.1103 0.4691  2 P 1.60
O: 0.8288 0.5531 0.5682  1 P 1.51
O: 0.8441 0.8293 0.4007  1 P 1.50
O: 0.8585 0.4029 0.8088  1 P 1.50
O: 0.8644 0.3633 0.3315  1 P 1.50
O: 0.8875 0.0935 0.0769  1 P 1.51
O: 0.9012 0.0256 0.8068  2 P 1.61-1.63
O: 0.9362 0.6374 0.1508  1 P 1.50
O: 0.9810 0.2885 0.5776  2 P 1.61-1.62



No. 7
A plane-wave DFT calculation with GGA+U was carried out for a relaxed structure of CrPO4.

- E: -7.4511 eV/atom

abc: 5.2824 9.6939 8.9296
angles: 90.00 119.85 90.00
Last column: nearest neighbours and their distance in Å.
Atoms (fractional coordinates):
Cr: 0.1087 0.1220 0.4317  5 O 1.92-2.06
Cr: 0.1087 0.3780 0.9317  5 O 1.92-2.06
Cr: 0.8913 0.6220 0.0683  5 O 1.92-2.06
Cr: 0.8913 0.8780 0.5683  5 O 1.92-2.06
P: 0.2097 0.6020 0.7990  4 O 1.51-1.60
P: 0.2097 0.8980 0.2990  4 O 1.51-1.60
P: 0.7903 0.1020 0.7010  4 O 1.51-1.60
P: 0.7903 0.3980 0.2010  4 O 1.51-1.60
O: 0.0082 0.1889 0.8510  1 P 1.51
O: 0.0082 0.3111 0.3510  1 P 1.51
O: 0.1311 0.5901 0.9505  1 P 1.60
O: 0.1311 0.9099 0.4505  1 P 1.60
O: 0.1888 0.0546 0.2528  1 P 1.56
O: 0.1888 0.4454 0.7528  1 P 1.56
O: 0.4815 0.1623 0.6289  1 P 1.54
O: 0.4815 0.3377 0.1289  1 P 1.54
O: 0.5185 0.6623 0.8711  1 P 1.54
O: 0.5185 0.8377 0.3711  1 P 1.54
O: 0.8112 0.5546 0.2472  1 P 1.56
O: 0.8112 0.9454 0.7472  1 P 1.56
O: 0.8689 0.0901 0.5495  1 P 1.60
O: 0.8689 0.4099 0.0495  1 P 1.60
O: 0.9918 0.6889 0.6490  1 P 1.51
O: 0.9918 0.8111 0.1490  1 P 1.51



No. 8
A plane-wave DFT calculation with GGA+U was carried out for a relaxed structure of CrP3O9.

- E: -7.3736 eV/atom
- Excess energy over the best structure of this formula in the dataset: 2.20 kJ per mole of atoms

abc: 7.4182 7.4182 9.5218
angles: 122.10 122.10 52.31
Last column: nearest neighbours and their distance in Å.
Atoms (fractional coordinates):
Cr: 0.0000 0.5000 0.0000  6 O 1.99-2.02
Cr: 0.5000 0.0000 0.5000  6 O 1.99-2.02
P: 0.0481 0.9519 0.7500  4 O 1.50-1.59
P: 0.2915 0.4821 0.8227  4 O 1.50-1.59
P: 0.4821 0.2915 0.3227  4 O 1.50-1.59
P: 0.5179 0.7085 0.6773  4 O 1.50-1.59
P: 0.7085 0.5179 0.1773  4 O 1.50-1.59
P: 0.9519 0.0481 0.2500  4 O 1.50-1.59
O: 0.0347 0.1719 0.9044  1 P 1.50
O: 0.1375 0.7544 0.8255  2 P 1.59
O: 0.1450 0.4145 0.8321  1 P 1.50
O: 0.1719 0.0347 0.4044  1 P 1.50
O: 0.2456 0.8625 0.6745  2 P 1.59
O: 0.3307 0.3883 0.1712  1 P 1.50
O: 0.3883 0.3307 0.6712  1 P 1.50
O: 0.4145 0.1450 0.3321  1 P 1.50
O: 0.5000 0.5000 0.0000  2 P 1.58
O: 0.5000 0.5000 0.5000  2 P 1.58
O: 0.5855 0.8550 0.6679  1 P 1.50
O: 0.6117 0.6693 0.3288  1 P 1.50
O: 0.6693 0.6117 0.8288  1 P 1.50
O: 0.7544 0.1375 0.3255  2 P 1.59
O: 0.8281 0.9653 0.5956  1 P 1.50
O: 0.8550 0.5855 0.1679  1 P 1.50
O: 0.8625 0.2456 0.1745  2 P 1.59
O: 0.9653 0.8281 0.0956  1 P 1.50



> What is the E in the fifth record?

-7.6800 eV/atom



Repeat the first record exactly.
A plane-wave DFT calculation with GGA+U was carried out for a relaxed structure of Cr2P2O7.

- E: -7.5942 eV/atom
- Excess energy over the best structure of this formula in the dataset: 0.55 kJ per mole of atoms

abc: 5.5596 5.5596 4.6524
angles: 101.36 101.36 101.02
Last column: nearest neighbours and their distance in Å.
Atoms (fractional coordinates):
Cr: 0.1893 0.8107 0.0000  4 O 2.06-2.11
Cr: 0.8107 0.1893 0.0000  4 O 2.06-2.11
P: 0.2999 0.2999 0.5890  4 O 1.52-1.59
P: 0.7001 0.7001 0.4110  4 O 1.52-1.59
O: 0.1312 0.1312 0.2818  1 P 1.55
O: 0.1473 0.4441 0.7671  1 P 1.52
O: 0.4441 0.1473 0.7671  1 P 1.52
O: 0.5000 0.5000 0.5000  2 P 1.59
O: 0.5559 0.8527 0.2329  1 P 1.52
O: 0.8527 0.5559 0.2329  1 P 1.52
O: 0.8688 0.8688 0.7182  1 P 1.55



What did the fourth record say?
A plane-wave DFT calculation with GGA+U was carried out for a relaxed structure of CrPO4.

- E: -7.4731 eV/atom

abc: 5.6914 6.4090 9.5868
angles: 75.15 75.90 81.43
Last column: nearest neighbours and their distance in Å.
Atoms (fractional coordinates):
Cr: 0.1255 0.0938 0.1888  4 O 1.92-2.11
Cr: 0.2583 0.1679 0.5586  5 O 1.95-2.10
Cr: 0.7417 0.8321 0.4414  5 O 1.95-2.10
Cr: 0.8745 0.9062 0.8112  4 O 1.92-2.11
P: 0.1777 0.7064 0.5244  4 O 1.50-1.57
P: 0.2983 0.8559 0.8986  4 O 1.52-1.62
P: 0.7017 0.1441 0.1014  4 O 1.52-1.62
P: 0.8223 0.2936 0.4756  4 O 1.50-1.57
O: 0.0685 0.2315 0.3739  1 P 1.56
O: 0.1095 0.6967 0.9084  1 P 1.56
O: 0.1134 0.7891 0.3690  1 P 1.56
O: 0.2105 0.0526 0.7733  1 P 1.62
O: 0.2623 0.9300 0.0414  1 P 1.52
O: 0.2658 0.4697 0.5616  1 P 1.50
O: 0.3722 0.8502 0.5327  1 P 1.57
O: 0.4367 0.2238 0.1554  1 P 1.53
O: 0.5633 0.7762 0.8446  1 P 1.53
O: 0.6278 0.1498 0.4673  1 P 1.57
O: 0.7342 0.5303 0.4384  1 P 1.50
O: 0.7377 0.0700 0.9586  1 P 1.52
O: 0.7895 0.9474 0.2267  1 P 1.62
O: 0.8866 0.2109 0.6310  1 P 1.56
O: 0.8905 0.3033 0.0916  1 P 1.56
O: 0.9315 0.7685 0.6261  1 P 1.56



Repeat the second record exactly.
A plane-wave DFT calculation with GGA+U was carried out for a relaxed structure of CrP2O7.

- E: -7.2510 eV/atom
- Excess energy over the best structure of this formula in the dataset: 2.51 kJ per mole of atoms

abc: 6.2916 6.2916 13.1331
angles: 105.37 105.37 80.60
Last column: nearest neighbours and their distance in Å.
Atoms (fractional coordinates):
Cr: 0.0841 0.6243 0.8527  6 O 1.91-1.97
Cr: 0.3757 0.9159 0.6473  6 O 1.91-1.97
Cr: 0.6243 0.0841 0.3527  6 O 1.91-1.97
Cr: 0.9159 0.3757 0.1473  6 O 1.91-1.97
P: 0.0852 0.1696 0.9295  4 O 1.52-1.61
P: 0.1696 0.0852 0.4295  4 O 1.52-1.61
P: 0.2499 0.4185 0.6354  4 O 1.51-1.61
P: 0.4185 0.2499 0.1354  4 O 1.51-1.61
P: 0.5815 0.7501 0.8646  4 O 1.51-1.61
P: 0.7501 0.5815 0.3646  4 O 1.51-1.61
P: 0.8304 0.9148 0.5705  4 O 1.52-1.61
P: 0.9148 0.8304 0.0705  4 O 1.52-1.61
O: 0.0274 0.9436 0.8554  1 P 1.53
O: 0.0564 0.9726 0.6446  1 P 1.53
O: 0.0703 0.5257 0.7008  1 P 1.56
O: 0.0934 0.7139 0.0078  1 P 1.54
O: 0.1107 0.3059 0.5167  2 P 1.61
O: 0.1383 0.3186 0.8670  1 P 1.52
O: 0.2343 0.4021 0.1808  1 P 1.52
O: 0.2861 0.9066 0.4922  1 P 1.54
O: 0.3059 0.1107 0.0167  2 P 1.61
O: 0.3186 0.1383 0.3670  1 P 1.52
O: 0.3723 0.5930 0.6212  1 P 1.51
O: 0.4021 0.2343 0.6808  1 P 1.52
O: 0.4070 0.6277 0.8788  1 P 1.51
O: 0.4743 0.9297 0.7992  1 P 1.56
O: 0.5257 0.0703 0.2008  1 P 1.56
O: 0.5930 0.3723 0.1212  1 P 1.51
O: 0.5979 0.7657 0.3192  1 P 1.52
O: 0.6277 0.4070 0.3788  1 P 1.51
O: 0.6814 0.8617 0.6330  1 P 1.52
O: 0.6941 0.8893 0.9833  2 P 1.61
O: 0.7139 0.0934 0.5078  1 P 1.54
O: 0.7657 0.5979 0.8192  1 P 1.52
O: 0.8617 0.6814 0.1330  1 P 1.52
O: 0.8893 0.6941 0.4833  2 P 1.61
O: 0.9066 0.2861 0.9922  1 P 1.54
O: 0.9297 0.4743 0.2992  1 P 1.56
O: 0.9436 0.0274 0.3554  1 P 1.53
O: 0.9726 0.0564 0.1446  1 P 1.53